Entry 1:
Density functional theory data (meta-GGA SCAN) for a PBEsol-optimized structure of KAlTe2. Values from VASP.

Cell and atoms, written as Quantum ESPRESSO input:
```
&SYSTEM
  ibrav = 0, nat = 32, ntyp = 3
/
ATOMIC_SPECIES
Al 26.98 Al.upf
Te 127.60 Te.upf
K 39.10 K.upf
ATOMIC_POSITIONS crystal
Al 0.4174 0.2904 0.6618
Te 0.7346 0.3604 0.9379
Al 0.2904 0.4174 0.1618
Te 0.1415 0.2652 0.5639
K 0.6546 0.7783 0.6169
Te 0.0506 0.9494 0.2500
Te 0.7348 0.8585 0.9361
K 0.2217 0.3454 0.8831
Te 0.6396 0.2654 0.5621
Al 0.7096 0.5826 0.8382
Al 0.2903 0.9129 0.1612
Te 0.4249 0.5751 0.7500
Al 0.5826 0.7096 0.3382
Al 0.7097 0.0871 0.8388
Te 0.2652 0.1415 0.0639
K 0.7792 0.1517 0.1090
K 0.3454 0.2217 0.3831
K 0.2208 0.8483 0.8910
Te 0.3604 0.7346 0.4379
K 0.7783 0.6546 0.1169
Te 0.9494 0.0506 0.7500
K 0.8483 0.2208 0.3910
K 0.1517 0.7792 0.6090
Al 0.9129 0.2903 0.6612
Te 0.5747 0.9499 0.2498
Te 0.4253 0.0501 0.7502
Te 0.5751 0.4249 0.2500
Te 0.0501 0.4253 0.2502
Te 0.2654 0.6396 0.0621
Al 0.0871 0.7097 0.3388
Te 0.9499 0.5747 0.7498
Te 0.8585 0.7348 0.4361
CELL_PARAMETERS angstrom
8.3069 0.0001 0.0037
-0.0011 8.3069 0.0037
-2.0839 -2.0842 16.2525
```

Energy: -0.8655 hartree per atom
M_tot: 0.00 μB/f.u.

Entry 2:
Density functional theory data (meta-GGA SCAN) for a PBEsol-optimized structure of KAlTe2. Values from VASP.

Cell and atoms, written as Quantum ESPRESSO input:
```
&SYSTEM
  ibrav = 0, nat = 4, ntyp = 3
/
ATOMIC_SPECIES
Te 127.60 Te.upf
Al 26.98 Al.upf
K 39.10 K.upf
ATOMIC_POSITIONS crystal
Te 0.0000 0.0000 0.5000
Te 0.0000 0.5000 0.0000
Al 0.5000 0.5000 0.5000
K 0.5000 0.0000 0.0000
CELL_PARAMETERS angstrom
3.0867 0.0000 0.0000
0.0000 6.0496 0.0000
0.0000 0.0000 6.0496
```

Energy: -0.8421 hartree per atom
M_tot: 0.00 μB/f.u.

Entry 3:
Density functional theory data (meta-GGA SCAN) for a PBEsol-optimized structure of KAl4Te. Values from VASP.

Cell and atoms, written as Quantum ESPRESSO input:
```
&SYSTEM
  ibrav = 0, nat = 6, ntyp = 3
/
ATOMIC_SPECIES
Te 127.60 Te.upf
Al 26.98 Al.upf
K 39.10 K.upf
ATOMIC_POSITIONS crystal
Te 0.0000 0.0000 0.0000
Al 0.3756 0.3756 0.3756
Al 0.3756 0.8732 0.3756
Al 0.3756 0.3756 0.8732
Al 0.8732 0.3756 0.3756
K 0.7500 0.7500 0.7500
CELL_PARAMETERS angstrom
-5.0777 1.8229 2.0274
-1.8902 -1.8496 5.1208
-0.1822 3.6177 4.4827
```

Energy: -0.4604 hartree per atom
M_tot: 0.00 μB/f.u.

Entry 4:
Density functional theory data (meta-GGA SCAN) for a PBEsol-optimized structure of KAlTe2. Values from VASP.

Cell and atoms, written as Quantum ESPRESSO input:
```
&SYSTEM
  ibrav = 0, nat = 4, ntyp = 3
/
ATOMIC_SPECIES
K 39.10 K.upf
Te 127.60 Te.upf
Al 26.98 Al.upf
ATOMIC_POSITIONS crystal
K 0.2500 0.7500 0.5000
Te 0.0000 0.0000 0.0000
Al 0.5000 0.5000 0.0000
Te 0.7500 0.2500 0.5000
CELL_PARAMETERS angstrom
4.4670 0.0000 0.0000
0.0000 4.4670 0.0000
-2.2335 -2.2335 5.5179
```

Energy: -0.8358 hartree per atom
M_tot: 0.00 μB/f.u.

Entry 5:
Density functional theory data (meta-GGA SCAN) for a PBEsol-optimized structure of K2AlTe. Values from VASP.

Cell and atoms, written as Quantum ESPRESSO input:
```
&SYSTEM
  ibrav = 0, nat = 4, ntyp = 3
/
ATOMIC_SPECIES
K 39.10 K.upf
Te 127.60 Te.upf
Al 26.98 Al.upf
ATOMIC_POSITIONS crystal
K 0.2450 0.2450 0.2650
K 0.7550 0.7550 0.7350
Te 0.5000 0.5000 0.5000
Al 0.0000 0.0000 0.0000
CELL_PARAMETERS angstrom
-0.4573 -3.6672 -0.4468
1.0180 -1.6277 -3.1892
10.3887 -3.5445 2.9526
```

Energy: -0.5663 hartree per atom
M_tot: 0.00 μB/f.u.

Entry 6:
Density functional theory data (meta-GGA SCAN) for a PBEsol-optimized structure of KAl2Te. Values from VASP.

Cell and atoms, written as Quantum ESPRESSO input:
```
&SYSTEM
  ibrav = 0, nat = 4, ntyp = 3
/
ATOMIC_SPECIES
Al 26.98 Al.upf
K 39.10 K.upf
Te 127.60 Te.upf
ATOMIC_POSITIONS crystal
Al 0.7500 0.7500 0.7500
Al 0.0000 0.0000 0.0000
K 0.5000 0.5000 0.5000
Te 0.2500 0.2500 0.2500
CELL_PARAMETERS angstrom
-2.6580 -3.3339 3.1244
2.5948 -2.9279 3.5548
-0.5033 1.0440 5.1574
```

Energy: -0.5520 hartree per atom
M_tot: 0.00 μB/f.u.

Entry 7:
Density functional theory data (meta-GGA SCAN) for a PBEsol-optimized structure of KTiAl2Te. Values from VASP.

Cell and atoms, written as Quantum ESPRESSO input:
```
&SYSTEM
  ibrav = 0, nat = 5, ntyp = 4
/
ATOMIC_SPECIES
Al 26.98 Al.upf
Te 127.60 Te.upf
K 39.10 K.upf
Ti 47.87 Ti.upf
ATOMIC_POSITIONS crystal
Al 0.0000 0.5000 0.0000
Te 0.5000 0.5000 0.5000
K 0.0000 0.0000 0.0000
Al 0.0000 0.0000 0.5000
Ti 0.5000 0.0000 0.0000
CELL_PARAMETERS angstrom
-4.5306 1.4566 -1.7156
0.0995 -4.0494 -3.7008
-2.4388 -3.3481 3.5980
```

Energy: -0.5063 hartree per atom
M_tot: 3.27 μB/f.u.

Entry 8:
Density functional theory data (meta-GGA SCAN) for a PBEsol-optimized structure of KTiAlTe2. Values from VASP.

Cell and atoms, written as Quantum ESPRESSO input:
```
&SYSTEM
  ibrav = 0, nat = 5, ntyp = 4
/
ATOMIC_SPECIES
Te 127.60 Te.upf
Ti 47.87 Ti.upf
Al 26.98 Al.upf
K 39.10 K.upf
ATOMIC_POSITIONS crystal
Te 0.0000 0.5000 0.0000
Ti 0.5000 0.0000 0.0000
Al 0.5000 0.5000 0.5000
Te 0.0000 0.0000 0.5000
K 0.0000 0.0000 0.0000
CELL_PARAMETERS angstrom
4.8490 0.0000 0.0000
0.0000 5.8874 0.0000
0.0000 0.0000 5.8874
```

Energy: -0.7419 hartree per atom
M_tot: 2.01 μB/f.u.

Number 1: uncorrected formation energy -0.91 eV/atom. Number 2: uncorrected formation energy -0.27 eV/atom. Number 3: uncorrected formation energy 0.24 eV/atom. Number 4: uncorrected formation energy -0.10 eV/atom. Number 5: uncorrected formation energy 0.01 eV/atom. Number 6: uncorrected formation energy 0.25 eV/atom. Number 7: uncorrected formation energy 1.65 eV/atom. Number 8: uncorrected formation energy 1.14 eV/atom.